(1)
# Rb2OsO6

A relaxed Rb2OsO6 crystal (PBE-GGA, Alexandria via LeMat-Bulk).

Values from the calculation:
N(E_F): 2.80 states/eV/f.u.
Magnetic moment: 0.2 μB per cell
Energy relative to the elements, uncorrected: -0.648 eV/atom

abc: 6.6479 6.6479 3.7319
angles: 92.30 92.30 62.50
Sites, in units of the cell vectors:
Rb 0.1808 0.1808 0.4041
Rb 0.8192 0.8192 0.5959
Os 0.5000 0.5000 0.0000
O 0.1960 0.5771 0.1058
O 0.3183 0.6817 0.5000
O 0.4229 0.8040 0.8942
O 0.5771 0.1960 0.1058
O 0.6817 0.3183 0.5000
O 0.8040 0.4229 0.8942

(2)
# NaGeTe2O8

A relaxed NaGeTe2O8 crystal (PBE-GGA, Alexandria via LeMat-Bulk).

Values from the calculation:
N(E_F): 1.99 states/eV/f.u.
Magnetic moment: 0.0 μB per cell
Energy relative to the elements, uncorrected: -0.879 eV/atom

abc: 9.4661 9.4661 9.4661
angles: 31.33 31.33 31.33
Sites, in units of the cell vectors:
Na 0.0000 0.0000 0.0000
Ge 0.5000 0.5000 0.5000
Te 0.2374 0.2374 0.2374
Te 0.7626 0.7626 0.7626
O 0.1553 0.4588 0.7428
O 0.2572 0.5412 0.8447
O 0.3055 0.3055 0.3055
O 0.4588 0.7428 0.1553
O 0.5412 0.8447 0.2572
O 0.6945 0.6945 0.6945
O 0.7428 0.1553 0.4588
O 0.8447 0.2572 0.5412